The following is a PBE calculation of a geometry-optimized SiNiIr2 structure, from the Alexandria database.

Computed properties:
Space-group type: R-3m
Formation energy from raw total energies: -0.212 eV/atom
Electronic total energy: -7.444 eV/atom

a b c (Å): 8.0787 8.0787 8.0787
angles (deg): 19.96 19.96 19.96
Site moments in Bohr magnetons follow the coordinates.
Atoms (fractional coordinates):
Si: 0.7500 0.7500 0.7500  -0.01
Ir: 0.4945 0.4945 0.4945  0.02
Ni: 0.2500 0.2500 0.2500  0.25
Ir: 0.0055 0.0055 0.0055  0.02